# 1
This record from Alexandria describes an optimized crystal structure of CaCe2ScHg4. The functional is PBE.

a b c (Å): 5.3096 5.3096 9.1856
angles (deg): 73.20 73.20 60.00
Each line ends with the local moment (μB).
Element x y z (fractional)
Ca: 0.0000 0.0000 0.0000  0.00
Ce: 0.7514 0.7514 0.7457  0.81
Ce: 0.2486 0.2486 0.2543  0.81
Sc: 0.5000 0.5000 0.5000  0.18
Hg: 0.3781 0.3781 0.8658  0.01
Hg: 0.8735 0.8735 0.3795  0.01
Hg: 0.1265 0.1265 0.6205  0.01
Hg: 0.6219 0.6219 0.1342  0.01

ΔH_f (0 K)	-382	meV per atom
magnetization	2.2	μB/f.u.
space-group type	R-3m

# 2
This record from Alexandria describes an optimized crystal structure of Sm7Dy3. The functional is PBE.

a b c (Å): 5.0907 7.2197 9.5203
angles (deg): 100.96 105.51 90.00
Element x y z (fractional)
Sm: 0.0000 0.5000 0.0000
Sm: 0.2001 0.1001 0.4003
Sm: 0.7999 0.8999 0.5997
Sm: 0.3997 0.6996 0.7994
Sm: 0.6003 0.3004 0.2006
Sm: 0.4002 0.2009 0.8003
Sm: 0.5998 0.7991 0.1997
Dy: 0.0000 0.0000 0.0000
Dy: 0.2007 0.6000 0.4014
Dy: 0.7993 0.4000 0.5986

ΔH_f (0 K)	15	meV per atom
magnetization	0.0	μB/f.u.
offset from the most stable computed form	0.000	eV/atom
space-group type	C2/m

# 3
This record from Alexandria describes an optimized crystal structure of Be2MoPb. The functional is PBE.

a b c (Å): 3.1050 3.1050 6.4017
angles (deg): 90.00 90.00 96.81
Each line ends with the local moment (μB).
Element x y z (fractional)
Pb: 0.5000 0.5000 0.7688  0.00
Be: 0.0000 0.0000 0.0725  0.00
Be: 0.5000 0.5000 0.2282  0.01
Mo: 0.0000 0.0000 0.4304  0.22

ΔH_f (0 K)	609	meV per atom
magnetization	0.3	μB/f.u.
space-group type	Cmm2

# 4
This record from Alexandria describes an optimized crystal structure of GaAg2Sb. The functional is PBE.

a b c (Å): 4.2930 4.3667 4.3667
angles (deg): 90.00 90.00 90.00
Element x y z (fractional)
Sb: 0.5000 0.0000 0.0000
Ga: 0.5000 0.5000 0.5000
Ag: 0.0000 0.0000 0.5000
Ag: 0.0000 0.5000 0.0000

formation energy (no corrections)	0.09	eV per atom
magnetization	0.0	μB/f.u.
offset from the most stable computed form	0.000	eV/atom
space-group type	P4/mmm

# 5
This record from Alexandria describes an optimized crystal structure of Pm6SnIr3. The functional is PBE.

a b c (Å): 4.2353 11.7965 12.1986
angles (deg): 107.82 90.00 90.00
Element x y z (fractional)
Pm: 0.7500 0.4711 0.6080
Pm: 0.2500 0.5289 0.3920
Pm: 0.7500 0.9253 0.0892
Pm: 0.2500 0.0747 0.9108
Pm: 0.7500 0.3932 0.0515
Pm: 0.2500 0.6068 0.9485
Pm: 0.7500 0.7118 0.2676
Pm: 0.2500 0.2882 0.7324
Pm: 0.7500 0.1388 0.4648
Pm: 0.2500 0.8612 0.5352
Pm: 0.7500 0.7924 0.7644
Pm: 0.2500 0.2076 0.2356
Sn: 0.7500 0.0524 0.6956
Sn: 0.2500 0.9476 0.3044
Ir: 0.7500 0.4513 0.8347
Ir: 0.2500 0.5487 0.1653
Ir: 0.7500 0.6829 0.5041
Ir: 0.2500 0.3171 0.4959
Ir: 0.7500 0.1592 0.0783
Ir: 0.2500 0.8408 0.9217

ΔH_f (0 K)	-613	meV per atom
magnetization	0.0	μB/f.u.
offset from the most stable computed form	0.000	eV/atom
space-group type	P2_1/m

# 6
This record from Alexandria describes an optimized crystal structure of TeAsW2. The functional is PBE.

a b c (Å): 4.7530 4.7530 5.1653
angles (deg): 75.17 75.17 40.82
Element x y z (fractional)
As: 0.4845 0.4845 0.6246
Te: 0.2517 0.2517 0.2199
W: 0.0028 0.0028 0.0007
W: 0.7610 0.7610 0.6547

formation energy (no corrections)	0.40	eV per atom
magnetization	0.0	μB/f.u.
offset from the most stable computed form	0.218	eV/atom
space-group type	Cm

# 7
This record from Alexandria describes an optimized crystal structure of La3NdTl4. The functional is PBE.

a b c (Å): 3.9581 3.9581 15.9064
angles (deg): 90.00 90.00 90.00
Element x y z (fractional)
Tl: 0.0000 0.0000 0.8808
Tl: 0.0000 0.0000 0.1192
Tl: 0.0000 0.0000 0.3735
Tl: 0.0000 0.0000 0.6265
Nd: 0.5000 0.5000 0.0000
La: 0.5000 0.5000 0.2469
La: 0.5000 0.5000 0.5000
La: 0.5000 0.5000 0.7531

ΔH_f (0 K)	-417	meV per atom
magnetization	0.0	μB/f.u.
offset from the most stable computed form	0.000	eV/atom
space-group type	P4/mmm

# 8
This record from Alexandria describes an optimized crystal structure of AgIrAu2. The functional is PBE.

a b c (Å): 9.8965 9.8965 9.8965
angles (deg): 16.46 16.46 16.46
Each line ends with the local moment (μB).
Element x y z (fractional)
Ir: 0.4995 0.4995 0.4995  0.50
Au: 0.0008 0.0008 0.0008  -0.01
Au: 0.2473 0.2473 0.2473  0.01
Ag: 0.7524 0.7524 0.7524  0.00

ΔH_f (0 K)	228	meV per atom
magnetization	0.5	μB/f.u.
offset from the most stable computed form	0.006	eV/atom
space-group type	R3m

Which value of magnetization does entry 3 give? 0.3 μB/f.u.

Number 1 is which compound? CaCe2ScHg4

The highest magnetization belongs to which entry? CaCe2ScHg4